Record 1
VASP calculation (PBE) on a relaxed structure of K3VGa.

abc: 6.4180 6.4180 6.4180
angles: 90.00 90.00 90.00
Each line ends with the local moment (μB).
Element x y z (fractional)
K: 0.5000 0.0000 0.0000  0.00
V: 0.5000 0.5000 0.5000  3.27
K: 0.0000 0.5000 0.0000  0.00
K: 0.0000 0.0000 0.5000  0.00
Ga: 0.0000 0.0000 0.0000  -0.07

Output
The value obtained for the calculated formation energy is 1.00 eV/atom. The value obtained for the total energy is -2.084 eV per atom. As for the density of states at the Fermi level: 17.5 states/eV/f.u. Its relative energy among the computed polymorphs is 0.000 eV per atom.

---

Record 2
VASP calculation (PBE) on a relaxed structure of KVGa3.

abc: 5.4719 5.4719 5.4719
angles: 90.00 90.00 90.00
Each line ends with the local moment (μB).
Element x y z (fractional)
Ga: 0.5000 0.0000 0.0000  -0.01
Ga: 0.0000 0.5000 0.0000  -0.01
Ga: 0.0000 0.0000 0.5000  -0.01
V: 0.5000 0.5000 0.5000  3.08
K: 0.0000 0.0000 0.0000  -0.02

Output
The value obtained for the calculated formation energy is 1.56 eV/atom. The value obtained for the total energy is -2.303 eV per atom. As for the density of states at the Fermi level: 8.8 states/eV/f.u. Its relative energy among the computed polymorphs is 1.427 eV per atom.

---

Record 3
VASP calculation (PBE) on a relaxed structure of KVGa2.

abc: 4.9677 4.9677 4.9677
angles: 60.00 60.00 60.00
Each line ends with the local moment (μB).
Element x y z (fractional)
K: 0.0000 0.0000 0.0000  0.00
V: 0.5000 0.5000 0.5000  2.56
Ga: 0.7500 0.7500 0.7500  -0.03
Ga: 0.2500 0.2500 0.2500  -0.03

Output
The value obtained for the calculated formation energy is 0.55 eV/atom. The value obtained for the total energy is -3.513 eV per atom. As for the density of states at the Fermi level: 4.4 states/eV/f.u. Its relative energy among the computed polymorphs is 0.063 eV per atom.

---

Record 4
VASP calculation (PBE) on a relaxed structure of K2VGa.

abc: 12.3645 12.3645 9.1014
angles: 47.21 47.21 90.00
Each line ends with the local moment (μB).
Element x y z (fractional)
Ga: 0.7500 0.2500 0.5000  -0.03
V: 0.2500 0.7500 0.5000  2.78
K: 0.7856 0.1250 0.2500  0.00
K: 0.3750 0.2144 0.7500  0.00
V: 0.5000 0.5000 0.0000  2.78
K: 0.9644 0.6250 0.2500  0.00
Ga: 0.0000 0.0000 0.0000  -0.03
K: 0.8750 0.0356 0.7500  0.00

Output
The value obtained for the calculated formation energy is 0.74 eV/atom. The value obtained for the total energy is -2.845 eV per atom. As for the density of states at the Fermi level: 8.2 states/eV/f.u.

---

Record 5
VASP calculation (PBE) on a relaxed structure of KVGa2.

abc: 5.4018 5.4018 9.5260
angles: 73.53 73.53 90.00
Each line ends with the local moment (μB).
Element x y z (fractional)
K: 0.5000 0.5000 0.0000  0.01
V: 0.0000 0.0000 0.0000  2.61
Ga: 0.8746 0.6250 0.2500  0.04
Ga: 0.8754 0.1250 0.2500  0.04
V: 0.7500 0.2500 0.5000  2.61
Ga: 0.3750 0.1246 0.7500  0.04
K: 0.2500 0.7500 0.5000  0.01
Ga: 0.8750 0.1254 0.7500  0.04

Output
The value obtained for the calculated formation energy is 0.49 eV/atom. The value obtained for the total energy is -3.576 eV per atom. As for the density of states at the Fermi level: 4.0 states/eV/f.u. Its relative energy among the computed polymorphs is 0.000 eV per atom.

---

Record 6
VASP calculation (PBE) on a relaxed structure of KVGa3.

abc: 4.9510 4.9510 4.9510
angles: 90.00 90.00 90.00
Element x y z (fractional)
V: 0.0000 0.0000 0.0000
Ga: 0.5000 0.0000 0.0000
Ga: 0.0000 0.0000 0.5000
K: 0.5000 0.5000 0.5000
Ga: 0.0000 0.5000 0.0000

Output
The value obtained for the calculated formation energy is 0.13 eV/atom. The value obtained for the total energy is -3.730 eV per atom. As for the density of states at the Fermi level: 6.5 states/eV/f.u. Its relative energy among the computed polymorphs is 0.000 eV per atom.

---

Record 7
VASP calculation (PBE) on a relaxed structure of KZrV2Ga.

abc: 4.9593 5.4883 4.9593
angles: 90.00 90.00 90.00
Each line ends with the local moment (μB).
Element x y z (fractional)
V: 0.0000 0.0000 0.5000  1.66
Ga: 0.0000 0.5000 0.0000  -0.08
Zr: 0.0000 0.0000 0.0000  -0.17
V: 0.5000 0.0000 0.0000  2.15
K: 0.5000 0.5000 0.5000  0.01

Output
The value obtained for the calculated formation energy is 1.18 eV/atom. The value obtained for the total energy is -4.998 eV per atom. As for the density of states at the Fermi level: 7.7 states/eV/f.u.

---

Record 8
VASP calculation (PBE) on a relaxed structure of KGa3W.

abc: 5.0172 5.0172 5.0172
angles: 90.00 90.00 90.00
Element x y z (fractional)
Ga: 0.5000 0.0000 0.0000
Ga: 0.0000 0.5000 0.0000
W: 0.0000 0.0000 0.0000
Ga: 0.0000 0.0000 0.5000
K: 0.5000 0.5000 0.5000

Output
The value obtained for the calculated formation energy is 0.15 eV/atom. The value obtained for the total energy is -4.474 eV per atom. As for the density of states at the Fermi level: 2.7 states/eV/f.u. Its relative energy among the computed polymorphs is 0.000 eV per atom.

---

Which value of calculated formation energy does entry 5 give?
0.49 eV/atom

---

Among the records above, which one has the highest calculated formation energy?
number 2